[1]
KLuCdS3, optimized geometry, DFT PBE; total energy = -4.532 eV per atom
1.0
14.440 0.000 0.000
0.000 4.048 0.000
0.000 0.000 10.795
K Lu Cd S
4 4 4 12
direct
0.242 0.250 0.049
0.258 0.750 0.549
0.742 0.250 0.451
0.758 0.750 0.951
0.022 0.250 0.354
0.478 0.750 0.854
0.522 0.250 0.146
0.978 0.750 0.646
0.016 0.750 0.104
0.484 0.250 0.604
0.516 0.750 0.396
0.984 0.250 0.896
0.090 0.250 0.577
0.091 0.750 0.876
0.134 0.750 0.270
0.366 0.250 0.770
0.409 0.250 0.376
0.410 0.750 0.077
0.590 0.250 0.923
0.591 0.750 0.624
0.634 0.750 0.230
0.866 0.250 0.730
0.909 0.250 0.124
0.910 0.750 0.423

[2]
LiYPdPb, optimized geometry, DFT PBE; total energy = -4.964 eV per atom
1.0
4.836 0.000 0.000
0.000 4.836 0.000
0.000 0.000 6.837
Li Y Pd Pb
2 2 2 2
direct
0.000 0.500 0.248
0.500 0.000 0.752
0.000 0.000 0.000
0.500 0.500 0.500
0.000 0.500 0.750
0.500 0.000 0.250
0.000 0.000 0.500
0.500 0.500 0.000